(1)
First-principles (PBE) data for an optimized crystal structure of LiCeO2F, as listed in Alexandria via LeMat-Bulk.

```
LiCeO2F
1.0
-1.1883 -2.1151 -2.6771
3.0171 -3.7925 4.0950
-5.1188 -0.8736 2.9623
Li O F Ce
2 4 2 2
direct
0.0000 0.0000 0.0000
0.0000 0.0000 0.5000
0.8335 0.6670 0.0198
0.1665 0.3330 0.9802
0.1665 0.3330 0.5198
0.8335 0.6670 0.4802
0.5089 0.0177 0.7500
0.4911 0.9823 0.2500
0.3003 0.6006 0.2500
0.6997 0.3994 0.7500
```

Computed properties:
The total magnetization comes out at 0.00 μB per formula unit. The raw formation energy comes out at -3.12 eV per atom.

(2)
First-principles (PBE) data for an optimized crystal structure of Li2CePmF8, as listed in Alexandria via LeMat-Bulk.

```
Li2CePmF8
1.0
-1.0970 -5.1974 0.6423
0.5974 -0.7762 -5.2602
5.7777 1.9171 3.0945
Ce Li F Pm
1 2 8 1
direct
0.0000 0.0000 0.0000
0.2500 0.7500 0.5000
0.5000 0.5000 0.0000
0.6058 0.6656 0.6567
0.7373 0.8594 0.1635
0.1406 0.5738 0.8365
0.4262 0.3041 0.1635
0.3344 0.9491 0.3433
0.0089 0.3942 0.3433
0.6959 0.2627 0.8365
0.0509 0.9911 0.6567
0.7500 0.2500 0.5000
```

Computed properties:
The total magnetization comes out at 1.00 μB per formula unit. The raw formation energy comes out at -3.70 eV per atom.

(3)
First-principles (PBE) data for an optimized crystal structure of Rb2LiCeF6, as listed in Alexandria via LeMat-Bulk.

```
Rb2LiCeF6
1.0
-3.2100 -5.3722 0.3603
1.9998 -4.5999 3.7597
-3.1919 -1.4005 5.2100
F Li Rb Ce
6 1 2 1
direct
0.7413 0.2587 0.7413
0.2587 0.7413 0.2587
0.2587 0.2587 0.7413
0.2587 0.7413 0.7413
0.7413 0.7413 0.2587
0.7413 0.2587 0.2587
0.5000 0.5000 0.5000
0.7500 0.7500 0.7500
0.2500 0.2500 0.2500
0.0000 0.0000 0.0000
```

Computed properties:
The total magnetization comes out at 1.00 μB per formula unit. The raw formation energy comes out at -3.25 eV per atom.

(4)
First-principles (PBE) data for an optimized crystal structure of Rb2Li3CeF12, as listed in Alexandria via LeMat-Bulk.

```
Rb2Li3CeF12
1.0
6.8854 -0.3421 -0.2427
3.1029 6.1562 -0.2427
3.1029 1.8062 5.8902
F Li Ce Rb
12 3 1 2
direct
0.8661 0.3818 0.8661
0.2492 0.9018 0.2492
0.8661 0.8661 0.3818
0.3818 0.8661 0.8661
0.1339 0.6182 0.1339
0.0982 0.7508 0.7508
0.1339 0.1339 0.6182
0.9018 0.2492 0.2492
0.7508 0.0982 0.7508
0.7508 0.7508 0.0982
0.2492 0.2492 0.9018
0.6182 0.1339 0.1339
0.0000 0.0000 0.5000
0.0000 0.5000 0.0000
0.5000 0.0000 0.0000
0.0000 0.0000 0.0000
0.6026 0.6026 0.6026
0.3974 0.3974 0.3974
```

Computed properties:
The total magnetization comes out at 3.02 μB per formula unit. The raw formation energy comes out at -2.53 eV per atom.

(5)
First-principles (PBE) data for an optimized crystal structure of RbLiCeF6, as listed in Alexandria via LeMat-Bulk.

```
RbLiCeF6
1.0
-0.5032 -2.9233 -4.8829
-0.2735 -2.7356 5.0083
-11.9875 1.6509 0.2470
Ce F Li Rb
2 12 2 2
direct
0.6667 0.3333 0.7500
0.3333 0.6667 0.2500
0.3826 0.0099 0.1534
0.3728 0.3826 0.8466
0.3728 0.9901 0.6534
0.6272 0.6174 0.1534
0.6174 0.9901 0.8466
0.9901 0.6174 0.3466
0.9901 0.3728 0.1534
0.6272 0.0099 0.3466
0.0099 0.3826 0.6534
0.6174 0.6272 0.6534
0.0099 0.6272 0.8466
0.3826 0.3728 0.3466
0.3333 0.6667 0.7500
0.6667 0.3333 0.2500
0.0000 0.0000 0.0000
0.0000 0.0000 0.5000
```

Computed properties:
The total magnetization comes out at 0.00 μB per formula unit. The raw formation energy comes out at -3.38 eV per atom.

(6)
First-principles (PBE) data for an optimized crystal structure of SrLiCeF6, as listed in Alexandria via LeMat-Bulk.

```
SrLiCeF6
1.0
-3.2179 -2.3285 4.1261
2.7034 -3.3642 -3.7650
8.3979 -0.3563 6.3484
F Ce Li Sr
12 2 2 2
direct
0.9750 0.6414 0.8621
0.6414 0.6664 0.1379
0.3336 0.9750 0.1379
0.6664 0.0250 0.8621
0.0250 0.3586 0.1379
0.3586 0.3336 0.8621
0.9750 0.3336 0.6379
0.6414 0.9750 0.3621
0.6664 0.6414 0.6379
0.3336 0.3586 0.3621
0.0250 0.6664 0.3621
0.3586 0.0250 0.6379
0.3333 0.6667 0.7500
0.6667 0.3333 0.2500
0.3333 0.6667 0.2500
0.6667 0.3333 0.7500
0.0000 0.0000 0.0000
0.0000 0.0000 0.5000
```

Computed properties:
The total magnetization comes out at 1.00 μB per formula unit. The raw formation energy comes out at -3.67 eV per atom.

(7)
First-principles (PBE) data for an optimized crystal structure of Li2CeTiF8, as listed in Alexandria via LeMat-Bulk.

```
Li2CeTiF8
1.0
4.8332 0.0651 -0.0026
0.1119 4.8471 -0.0049
0.0051 0.0082 6.8069
F Li Ti Ce
8 2 1 1
direct
0.2774 0.2736 0.9999
0.7947 0.2090 0.2214
0.2053 0.7910 0.2214
0.7226 0.7264 0.0001
0.2053 0.7910 0.7786
0.3225 0.3158 0.5001
0.7947 0.2090 0.7786
0.6775 0.6842 0.4999
0.4998 0.4998 0.7627
0.5002 0.5002 0.2373
0.0000 0.0000 0.0000
0.0000 0.0000 0.5000
```

Computed properties:
The total magnetization comes out at 2.00 μB per formula unit. The raw formation energy comes out at -3.36 eV per atom.

(8)
First-principles (PBE) data for an optimized crystal structure of LiCeTlF6, as listed in Alexandria via LeMat-Bulk.

```
LiCeTlF6
1.0
5.7175 0.0018 0.0007
2.8603 4.9507 -0.0008
0.0010 -0.0018 6.0565
F Li Ce Tl
6 1 1 1
direct
0.0097 0.3708 0.3072
0.0094 0.6196 0.6927
0.6196 0.0095 0.3073
0.6193 0.3711 0.6928
0.3711 0.6194 0.3071
0.3708 0.0097 0.6928
0.3334 0.3334 0.5000
0.6666 0.6666 0.5000
0.9999 0.9999 0.0000
```

Computed properties:
The total magnetization comes out at 0.00 μB per formula unit. The raw formation energy comes out at -3.14 eV per atom.

(9)
First-principles (PBE) data for an optimized crystal structure of Li2CeTlF8, as listed in Alexandria via LeMat-Bulk.

```
Li2CeTlF8
1.0
5.7299 0.0000 0.0000
-2.8650 4.9622 0.0000
0.0000 0.0000 7.6888
F Li Ce Tl
8 2 1 1
direct
0.3275 0.1637 0.1869
0.6725 0.8363 0.8131
0.1637 0.3275 0.8131
0.8363 0.1637 0.1869
0.6667 0.3333 0.5292
0.1637 0.8363 0.8131
0.8363 0.6725 0.1869
0.3333 0.6667 0.4708
0.6667 0.3333 0.2900
0.3333 0.6667 0.7100
0.0000 0.0000 0.0000
0.0000 0.0000 0.5000
```

Computed properties:
The total magnetization comes out at 1.04 μB per formula unit. The raw formation energy comes out at -2.78 eV per atom.

(10)
First-principles (PBE) data for an optimized crystal structure of Li2CeUF8, as listed in Alexandria via LeMat-Bulk.

```
Li2CeUF8
1.0
5.3848 0.0000 0.0000
0.0000 5.3848 0.0000
-2.6924 -2.6924 5.7602
F Ce Li U
8 1 2 1
direct
0.6921 0.2625 0.8379
0.1458 0.5753 0.8379
0.0544 0.9895 0.6575
0.3320 0.9456 0.3425
0.7375 0.8542 0.1621
0.4247 0.3079 0.1621
0.6031 0.6680 0.6575
0.0105 0.3969 0.3425
0.0000 0.0000 0.0000
0.5000 0.5000 0.0000
0.2500 0.7500 0.5000
0.7500 0.2500 0.5000
```

Computed properties:
The total magnetization comes out at 4.00 μB per formula unit. The raw formation energy comes out at -3.45 eV per atom.

The highest total magnetization belongs to which entry? Li2CeUF8